Entry 1:
Er2Sc2Ag: optimized geometry, PBE.

The structure in POSCAR format:
```
Er2Sc2Ag
1.0
-2.2009 -0.1831 -4.2915
3.9502 -1.9804 -1.9414
-4.9764 -9.6092 5.6763
Er Sc Ag
4 4 2
direct
0.4259 0.9259 0.8518 Er
0.6759 0.6759 0.3518 Er
0.3241 0.3241 0.6482 Er
0.0741 0.5741 0.1482 Er
0.8260 0.8260 0.6520 Sc
0.5760 0.0760 0.1520 Sc
0.9240 0.4240 0.8480 Sc
0.1740 0.1740 0.3480 Sc
0.5000 0.5000 0.0000 Ag
0.2500 0.7500 0.5000 Ag
```

As for the space group: I4_1/amd (141). Its energy of formation is 64.5 meV per atom.


Entry 2:
Pr3GeSBr: optimized geometry, PBE.

The structure in POSCAR format:
```
Pr3GeSBr
1.0
4.0948 0.0000 0.0000
0.0000 7.8094 -0.5477
0.0000 -3.7093 11.0069
Pr Ge S Br
6 2 2 2
direct
0.2500 0.7064 0.5139 Pr
0.7500 0.9756 0.1469 Pr
0.7500 0.4686 0.1584 Pr
0.7500 0.2936 0.4861 Pr
0.2500 0.5314 0.8416 Pr
0.2500 0.0244 0.8531 Pr
0.7500 0.6902 0.7028 Ge
0.2500 0.3098 0.2972 Ge
0.2500 0.7000 0.1057 S
0.7500 0.3000 0.8943 S
0.2500 0.1495 0.6250 Br
0.7500 0.8505 0.3750 Br
```

For the uncorrected formation energy, the calculation gives -1.3107 eV per atom. As for the space group: P2_1/m (11).